Record 1
Here is a relaxed structure of Nd2UO6 from the Alexandria database. Energies are from PBE.

Cell: 3.9320 5.5264 11.4123 Å, 90.00 90.00 90.00°
Space group Immm (No. 71)
Symmetry-distinct sites (fractional):
Nd 0.0000 0.0000 0.1647 x4
U 0.0000 0.0000 0.5000 x2
O 0.0000 0.2356 0.3485 x8
O 0.0000 0.2758 0.0000 x4

Output
- spin magnetization (μB/f.u.) = 0.00
- formation energy (no corrections) (eV per formula unit) = -30.30
- density (g/cm3) = 8.34
- total energy (eV per atom) = -8.9859
- density of states at the Fermi level (states/eV per atom) = 0.000



Record 2
Here is a relaxed structure of Ac4Pr4Tm3 from the Alexandria database. Energies are from PBE.

Cell: 37.9463 5.8787 3.7095 Å, 90.00 90.92 90.00°
Space group C2/m (No. 12)
Symmetry-distinct sites (fractional):
Ac 0.0914 0.0000 0.2237 x4
Ac 0.2207 0.5000 0.2454 x4
Pr 0.0409 0.5000 0.7730 x4
Pr 0.1793 0.0000 0.7424 x4
Tm 0.0000 0.0000 0.5000 x2
Tm 0.1335 0.5000 0.7299 x4

Output
- spin magnetization (μB/f.u.) = 0.00
- density (g/cm3) = 7.94
- total energy (eV per atom) = -4.3801
- density of states at the Fermi level (states/eV per atom) = 1.409
- formation energy from the elements (eV per atom) = 0.071



Record 3
Here is a relaxed structure of Na3Cd2Au from the Alexandria database. Energies are from PBE.

Cell: 9.1164 11.6262 5.8242 Å, 90.00 90.00 90.00°
Space group Cmcm (No. 63)
Symmetry-distinct sites (fractional):
Na 0.0000 0.0779 0.2500 x4
Na 0.1718 0.2421 0.7500 x8
Cd 0.1784 0.5000 0.0000 x8
Au 0.0000 0.3322 0.2500 x4

Output
- spin magnetization (μB/f.u.) = 0.00
- density (g/cm3) = 5.28
- energy above the lowest structure with this stoichiometry (meV per atom) = 0.0
- total energy (eV per atom) = -1.6770
- density of states at the Fermi level (states/eV per atom) = 0.258
- formation energy from the elements (eV per atom) = -0.166



Record 4
Here is a relaxed structure of TlSn2As2 from the Alexandria database. Energies are from PBE.

Cell: 4.4785 4.4785 14.6374 Å, 90.00 90.00 90.00°
Space group I4/mmm (No. 139)
Symmetry-distinct sites (fractional):
Tl 0.0000 0.0000 0.0000 x2
Sn 0.0000 0.0000 0.3734 x4
As 0.0000 0.5000 0.2500 x4

Output
- spin magnetization (μB/f.u.) = 0.00
- density (g/cm3) = 6.69
- energy above the lowest structure with this stoichiometry (meV per atom) = 220.2
- total energy (eV per atom) = -3.8008
- density of states at the Fermi level (states/eV per atom) = 0.382
- formation energy from the elements (eV per atom) = 0.133